{
  "formula": "MnBeP2O",
  "functional": "GGA+U",
  "state": "relaxed",
  "cell": [[4.765, 0.000, 0.000], [0.000, 4.765, 0.000], [0.000, 0.000, 3.514]],
  "species": ["Mn", "Be", "P", "P", "O"],
  "frac_coords": [[0.000, 0.000, 0.000], [0.500, 0.500, 0.500], [0.000, 0.500, 0.000], [0.500, 0.000, 0.000], [0.000, 0.000, 0.500]],
  "dos_at_fermi_per_ev_cell": 3.5,
  "m_tot_mub_per_cell": 2.757,
  "e_above_lowest_polymorph_ev_per_atom": 0.7294
}